Model i:
Er4SbSe2 | PBE | optimized geometry

* D(E_F): 0.60 states/eV/atom

```
14
Lattice="4.0565 0.0000 0.0000 -2.0282 6.5458 0.0000 0.0000 0.0000 13.6799" Properties=species:S:1:pos:R:3 pbc="T T T"
Er 2.0282 3.5856 1.6984
Er 2.0282 3.5856 5.1415
Er 0.0000 2.9602 11.9815
Er 0.0000 2.9602 8.5384
Er 2.0282 5.6088 10.2599
Er 0.0000 0.9370 3.4200
Er 2.0282 0.0000 0.0000
Er 2.0282 0.0000 6.8400
Sb 2.0282 1.3170 10.2599
Sb 0.0000 5.2288 3.4200
Se 0.0000 1.8020 6.0296
Se 2.0282 4.7438 12.8695
Se 0.0000 1.8020 0.8104
Se 2.0282 4.7438 7.6503
```

=====

Model ii:
Er4SbSe2 | PBE | optimized geometry

* D(E_F): 0.70 states/eV/atom

```
14
Lattice="-6.2768 -1.5621 2.6908 5.2454 -2.9041 3.6235 0.3911 6.6919 4.7972" Properties=species:S:1:pos:R:3 pbc="T T T"
Er -0.7947 -3.4415 4.8656
Er -0.2366 -1.0247 1.4487
Er -0.0411 2.3213 3.8473
Er -0.5991 -0.0956 7.2642
Er -3.0406 0.8915 2.5444
Er 2.7205 0.2213 3.0113
Er -2.8450 4.2383 4.9436
Er 2.9160 3.5664 5.4093
Sb -0.4179 -0.5601 4.3564
Sb -0.2223 2.7858 6.7550
Se 3.0890 -2.6528 3.4487
Se -4.1203 -1.8134 2.8656
Se 3.2845 0.6928 5.8477
Se -3.9247 1.5329 5.2637
```

=====

Short version: model ii is the least stable of them.

=====

Model i:
Er2SiSb | PBE | optimized geometry

* D(E_F): 0.53 states/eV/atom

```
4
Lattice="4.1189 0.0000 0.0000 2.0595 3.5671 0.0000 2.0595 1.1890 7.1851" Properties=species:S:1:pos:R:3 pbc="T T T"
Sb 4.1189 2.3781 3.5925
Si 0.0000 0.0000 0.0000
Er 2.0595 1.1890 1.6517
Er 6.1784 3.5671 5.5334
```

=====

Model ii:
Er2SiSb | PBE | optimized geometry

* D(E_F): 0.40 states/eV/atom

```
8
Lattice="4.0228 0.0000 0.0000 0.0000 4.3067 -0.7649 0.0000 -0.1661 11.5713" Properties=species:S:1:pos:R:3 pbc="T T T"
Er 3.0171 2.8412 3.4900
Er 1.0057 1.2995 7.3164
Er 3.0171 3.9002 9.4529
Er 1.0057 0.2404 1.3535
Si 1.0057 1.8391 10.3548
Si 3.0171 2.3015 0.4516
Sb 1.0057 0.7587 4.2715
Sb 3.0171 3.3820 6.5349
```

=====

Short version: model i is the least stable of them.

=====

Model i:
Sm2ErSb | PBE | optimized geometry

* D(E_F): 1.23 states/eV/atom

```
4
Lattice="4.0438 0.0000 0.0000 2.0219 3.5021 0.0000 2.0219 1.1674 9.6462" Properties=species:S:1:pos:R:3 pbc="T T T"
Sb 0.0000 0.0000 0.0000
Sm 2.0219 1.1674 1.9827
Sm 6.0657 3.5021 7.6635
Er 4.0438 2.3347 4.8231
```

=====

Model ii:
Sm2ErSb | PBE | optimized geometry

* D(E_F): 1.06 states/eV/atom

```
4
Lattice="4.8691 0.0000 0.0000 0.0000 4.8145 0.0000 0.0000 0.0000 4.8145" Properties=species:S:1:pos:R:3 pbc="T T T"
Sb 2.4345 0.0000 0.0000
Sm 0.0000 0.0000 2.4073
Sm 0.0000 2.4073 0.0000
Er 2.4345 2.4073 2.4073
```

=====

Short version: model i is the least stable of them.

=====

Model i:
Sm3ErSb2 | PBE | optimized geometry

* D(E_F): 0.79 states/eV/atom

```
6
Lattice="-2.3303 -1.4440 -3.6022 3.5889 -2.4008 -1.3593 -2.8269 -6.8058 4.5568" Properties=species:S:1:pos:R:3 pbc="T T T"
Sm -2.1624 -3.1228 -0.1937
Sm -0.0352 -5.6054 2.2697
Sm 0.0000 0.0000 0.0000
Er 0.6293 -1.9224 -2.4808
Sb -3.2091 -5.6428 1.4936
Sb 1.0115 -3.0853 0.5824
```

=====

Model ii:
Sm3ErSb2 | PBE | optimized geometry

* D(E_F): 1.17 states/eV/atom

```
12
Lattice="7.1232 0.0000 0.0000 0.0000 7.8276 0.0000 -3.5616 -3.9138 7.2218" Properties=species:S:1:pos:R:3 pbc="T T T"
Sm 3.5616 1.9569 0.0000
Sm 3.5616 5.8707 0.0000
Sm 3.5616 -1.9569 4.2075
Sm 0.0000 1.9569 3.0142
Sm 0.0000 5.8707 3.0142
Sm 3.5616 1.9569 4.2075
Er 0.0000 3.9138 0.0000
Er 0.0000 0.0000 0.0000
Sb 1.2794 0.0000 5.1267
Sb 4.8410 0.0000 2.0951
Sb -1.2794 3.9138 5.1267
Sb 2.2822 3.9138 2.0951
```

=====

Short version: model ii is the least stable of them.